# HgPbNF2 | Alexandria | PBE | optimized geometry
data_HgPbNF2
_cell_length_a 4.6859
_cell_length_b 4.6859
_cell_length_c 6.4673
_cell_angle_alpha 90.00
_cell_angle_beta 90.00
_cell_angle_gamma 90.00
_space_group_name_H-M_alt 'P 4/m m m'
_space_group_IT_number 123
_space_group_name_Hall '-P 4 2'
loop_
_atom_site_label
_atom_site_type_symbol
_atom_site_fract_x
_atom_site_fract_y
_atom_site_fract_z
Hg1 Hg 0.0000 0.0000 0.0000
Pb1 Pb 0.0000 0.0000 0.5000
N1 N 0.5000 0.5000 0.0000
F1 F 0.0000 0.5000 0.5000
# ρ	5.38	g cm⁻³
# uncorrected formation energy	-20.8	kJ per mole of atoms
# E above lowest polymorph	145	meV/atom